# Ca3YRu

A relaxed Ca3YRu crystal (PBE-GGA, Alexandria via LeMat-Bulk).

abc: 5.740 5.740 5.740
angles: 90.00 90.00 90.00
Last column: magnetic moment on the atom in μB.
Sites, in units of the cell vectors:
Ca 0.500 0.000 0.000  0.06
Ca 0.000 0.000 0.500  0.26
Ca 0.000 0.500 0.000  0.16
Ru 0.500 0.500 0.500  2.38
Y 0.000 0.000 0.000  0.96

Properties
- VASP energy: -13.33 eV per cell
- Energy relative to the elements: 1684 meV per atom
- M_tot: 4.915 Bohr magnetons per cell



# CaY2Ru

A relaxed CaY2Ru crystal (PBE-GGA, Alexandria via LeMat-Bulk).

abc: 5.188 5.188 5.188
angles: 60.00 60.00 60.00
Sites, in units of the cell vectors:
Ca 0.500 0.500 0.500
Y 0.250 0.250 0.250
Ru 0.750 0.750 0.750
Y 0.000 0.000 0.000

Properties
- VASP energy: -23.25 eV per cell
- Energy relative to the elements: 239 meV per atom
- M_tot: 0.000 Bohr magnetons per cell



# Ca2YZnRu

A relaxed Ca2YZnRu crystal (PBE-GGA, Alexandria via LeMat-Bulk).

abc: 6.261 4.695 6.261
angles: 90.00 90.00 90.00
Sites, in units of the cell vectors:
Y 0.000 0.000 0.000
Zn 0.500 0.500 0.500
Ca 0.000 0.000 0.500
Ru 0.000 0.500 0.000
Ca 0.500 0.000 0.000

Properties
- VASP energy: -16.12 eV per cell
- Energy relative to the elements: 980 meV per atom
- M_tot: 0.000 Bohr magnetons per cell



# Ca2ZnRu

A relaxed Ca2ZnRu crystal (PBE-GGA, Alexandria via LeMat-Bulk).

abc: 9.532 9.532 9.532
angles: 20.74 20.74 20.74
Last column: magnetic moment on the atom in μB.
Sites, in units of the cell vectors:
Ca 0.510 0.510 0.510  0.02
Ru 0.250 0.250 0.250  0.19
Zn 0.750 0.750 0.750  0.06
Ca 0.990 0.990 0.990  0.02

Properties
- VASP energy: -13.31 eV per cell
- Energy relative to the elements: 312 meV per atom
- M_tot: 0.557 Bohr magnetons per cell



# CaZn2Ru

A relaxed CaZn2Ru crystal (PBE-GGA, Alexandria via LeMat-Bulk).

abc: 3.369 3.369 6.685
angles: 90.00 90.00 90.00
Sites, in units of the cell vectors:
Ca 0.000 0.000 0.525
Zn 0.500 0.500 0.192
Ru 0.500 0.500 0.817
Zn 0.000 0.000 0.965

Properties
- VASP energy: -13.74 eV per cell
- Energy relative to the elements: 22 meV per atom
- M_tot: 0.000 Bohr magnetons per cell



# Ca2ZnRu

A relaxed Ca2ZnRu crystal (PBE-GGA, Alexandria via LeMat-Bulk).

abc: 5.318 5.318 5.318
angles: 130.94 130.94 71.91
Sites, in units of the cell vectors:
Zn 0.750 0.250 0.500
Ca 0.000 0.000 0.000
Ru 0.500 0.500 0.000
Ca 0.250 0.750 0.500

Properties
- VASP energy: -13.91 eV per cell
- Energy relative to the elements: 162 meV per atom
- M_tot: 0.000 Bohr magnetons per cell



# CaZnRu

A relaxed CaZnRu crystal (PBE-GGA, Alexandria via LeMat-Bulk).

abc: 4.340 4.340 3.704
angles: 90.00 90.00 120.00
Sites, in units of the cell vectors:
Ca 0.000 0.000 0.000
Zn 0.333 0.667 0.500
Ru 0.667 0.333 0.500

Properties
- VASP energy: -12.25 eV per cell
- Energy relative to the elements: 101 meV per atom
- M_tot: 0.000 Bohr magnetons per cell



# CaZnRu

A relaxed CaZnRu crystal (PBE-GGA, Alexandria via LeMat-Bulk).

abc: 3.170 3.170 6.678
angles: 90.00 90.00 120.00
Sites, in units of the cell vectors:
Ca 0.000 0.000 0.022
Ru 0.333 0.667 0.351
Zn 0.667 0.333 0.627

Properties
- VASP energy: -11.41 eV per cell
- Energy relative to the elements: 379 meV per atom
- M_tot: 0.000 Bohr magnetons per cell



# CaZn2Ru

A relaxed CaZn2Ru crystal (PBE-GGA, Alexandria via LeMat-Bulk).

abc: 4.455 4.455 9.431
angles: 76.34 76.34 90.00
Last column: magnetic moment on the atom in μB.
Sites, in units of the cell vectors:
Ca 0.500 0.500 0.000  0.00
Ca 0.250 0.750 0.500  0.00
Ru 0.000 0.000 0.000  0.09
Zn 0.875 0.022 0.750  0.00
Zn 0.375 0.228 0.750  0.00
Zn 0.772 0.125 0.250  0.00
Ru 0.750 0.250 0.500  0.09
Zn 0.978 0.625 0.250  0.00

Properties
- VASP energy: -25.81 eV per cell
- Energy relative to the elements: 230 meV per atom
- M_tot: 0.154 Bohr magnetons per cell



# CaZnRu

A relaxed CaZnRu crystal (PBE-GGA, Alexandria via LeMat-Bulk).

abc: 5.530 5.530 3.413
angles: 72.02 72.03 35.94
Sites, in units of the cell vectors:
Ca 0.996 0.996 0.004
Ru 0.294 0.294 0.706
Zn 0.710 0.710 0.290

Properties
- VASP energy: -12.54 eV per cell
- Energy relative to the elements: 5 meV per atom
- M_tot: 0.000 Bohr magnetons per cell



# CaZn3Ru

A relaxed CaZn3Ru crystal (PBE-GGA, Alexandria via LeMat-Bulk).

abc: 5.233 5.233 5.233
angles: 90.00 90.00 90.00
Last column: magnetic moment on the atom in μB.
Sites, in units of the cell vectors:
Zn 0.500 0.000 0.000  0.00
Ru 0.500 0.500 0.500  2.45
Zn 0.000 0.500 0.000  -0.02
Ca 0.000 0.000 0.000  -0.05
Zn 0.000 0.000 0.500  -0.02

Properties
- VASP energy: -7.22 eV per cell
- Energy relative to the elements: 1577 meV per atom
- M_tot: 2.330 Bohr magnetons per cell



# CaZn2Ru2

A relaxed CaZn2Ru2 crystal (PBE-GGA, Alexandria via LeMat-Bulk).

abc: 7.577 7.577 2.904
angles: 90.00 90.00 90.00
Sites, in units of the cell vectors:
Zn 0.174 0.674 0.500
Zn 0.326 0.174 0.500
Ca 0.000 0.000 0.000
Ru 0.617 0.117 0.000
Zn 0.674 0.826 0.500
Zn 0.826 0.326 0.500
Ru 0.117 0.383 0.000
Ca 0.500 0.500 0.000
Ru 0.383 0.883 0.000
Ru 0.883 0.617 0.000

Properties
- VASP energy: -45.59 eV per cell
- Energy relative to the elements: 61 meV per atom
- M_tot: 0.000 Bohr magnetons per cell